{"formula": "KLiScFe2", "functional": "PBE-GGA", "state": "optimized geometry", "final_energy_ev_per_cell": -20.5, "ef_ev_per_fu": 5.73, "mass_density_g_cm3": 3.10, "cell": [[4.7024, 0.0000, 0.0000], [0.0000, 4.7024, 0.0000], [0.0000, 0.0000, 4.9041]], "species": ["K", "Li", "Sc", "Fe", "Fe"], "fractional_positions": [[0.0000, 0.0000, 0.0000], [0.5000, 0.5000, 0.5000], [0.5000, 0.5000, 0.0000], [0.0000, 0.5000, 0.5000], [0.5000, 0.0000, 0.5000]]}